A:
First-principles (PBE) data for an optimized crystal structure of NbTlCr2, as listed in Alexandria via LeMat-Bulk.

Lattice parameters (Å, degrees): 7.2957 7.2957 5.8048 90.00 90.00 90.00
Positions (direct):
Nb 0.0000 0.0000 0.0000
Nb 0.0000 0.5000 0.2500
Nb 0.5000 0.0000 0.7500
Nb 0.5000 0.5000 0.5000
Tl 0.0000 0.0000 0.5000
Tl 0.0000 0.5000 0.7500
Tl 0.5000 0.0000 0.2500
Tl 0.5000 0.5000 0.0000
Cr 0.2238 0.2500 0.1250
Cr 0.2500 0.7238 0.3750
Cr 0.2500 0.7762 0.8750
Cr 0.2762 0.2500 0.6250
Cr 0.7238 0.7500 0.6250
Cr 0.7500 0.2238 0.8750
Cr 0.7500 0.2762 0.3750
Cr 0.7762 0.7500 0.1250

## Properties
Its crystal system is tetragonal. The value obtained for the volume is 77 Å³/f.u. As for the density of states at the Fermi level: 15.5 states/eV per cell. As for the space group: I-42d.

=====

B:
First-principles (PBE) data for an optimized crystal structure of NbTlCr2, as listed in Alexandria via LeMat-Bulk.

Lattice parameters (Å, degrees): 6.4154 6.4154 6.4154 90.00 90.00 90.00
Positions (direct):
Nb 0.0000 0.0000 0.0000
Nb 0.0000 0.5000 0.5000
Nb 0.5000 0.0000 0.5000
Nb 0.5000 0.5000 0.0000
Tl 0.0000 0.0000 0.5000
Tl 0.0000 0.5000 0.0000
Tl 0.5000 0.0000 0.0000
Tl 0.5000 0.5000 0.5000
Cr 0.2500 0.2500 0.2500
Cr 0.2500 0.2500 0.7500
Cr 0.2500 0.7500 0.2500
Cr 0.2500 0.7500 0.7500
Cr 0.7500 0.2500 0.2500
Cr 0.7500 0.2500 0.7500
Cr 0.7500 0.7500 0.2500
Cr 0.7500 0.7500 0.7500

## Properties
Its crystal system is cubic. The value obtained for the volume is 66 Å³/f.u. As for the density of states at the Fermi level: 8.3 states/eV per cell. As for the space group: Fm-3m.

=====

Decreasing stability: B, A

=====

A:
First-principles (PBE) data for an optimized crystal structure of Nb2VCr, as listed in Alexandria via LeMat-Bulk.

Lattice parameters (Å, degrees): 2.8005 2.8005 29.2974 90.00 90.00 120.00
Positions (direct):
Nb 0.0000 0.0000 0.0839
Nb 0.0000 0.0000 0.9161
Nb 0.3333 0.6667 0.5827
Nb 0.3333 0.6667 0.7506
Nb 0.6667 0.3333 0.2494
Nb 0.6667 0.3333 0.4173
V 0.0000 0.0000 0.5000
V 0.3333 0.6667 0.1667
V 0.6667 0.3333 0.8333
Cr 0.0000 0.0000 0.0000
Cr 0.3333 0.6667 0.6667
Cr 0.6667 0.3333 0.3333

## Properties
Its crystal system is trigonal. The value obtained for the volume is 66 Å³/f.u. As for the density of states at the Fermi level: 20.7 states/eV per cell. As for the space group: R-3m.

=====

B:
First-principles (PBE) data for an optimized crystal structure of Nb2VCr, as listed in Alexandria via LeMat-Bulk.

Lattice parameters (Å, degrees): 3.1313 3.1313 6.3014 90.00 90.00 90.00
Positions (direct):
Nb 0.0000 0.0000 0.2439
Nb 0.0000 0.0000 0.7561
V 0.5000 0.5000 0.5000
Cr 0.5000 0.5000 0.0000

## Properties
Its crystal system is tetragonal. The value obtained for the volume is 62 Å³/f.u. As for the density of states at the Fermi level: 6.4 states/eV per cell. As for the space group: P4/mmm.

=====

C:
First-principles (PBE) data for an optimized crystal structure of Nb2VCr, as listed in Alexandria via LeMat-Bulk.

Lattice parameters (Å, degrees): 4.4293 4.4293 3.1463 90.00 90.00 90.00
Positions (direct):
Nb 0.0000 0.5000 0.0000
Nb 0.5000 0.0000 0.0000
V 0.0000 0.0000 0.5000
Cr 0.5000 0.5000 0.5000

## Properties
Its crystal system is tetragonal. The value obtained for the volume is 62 Å³/f.u. As for the density of states at the Fermi level: 6.1 states/eV per cell. As for the space group: P4/mmm.

=====

D:
First-principles (PBE) data for an optimized crystal structure of Nb2VCr, as listed in Alexandria via LeMat-Bulk.

Lattice parameters (Å, degrees): 6.9514 6.9514 5.4319 90.00 90.00 90.00
Positions (direct):
Nb 0.2361 0.7500 0.1250
Nb 0.2500 0.2361 0.8750
Nb 0.2500 0.2639 0.3750
Nb 0.2639 0.7500 0.6250
Nb 0.7361 0.2500 0.6250
Nb 0.7500 0.7361 0.3750
Nb 0.7500 0.7639 0.8750
Nb 0.7639 0.2500 0.1250
V 0.0000 0.0000 0.5000
V 0.0000 0.5000 0.7500
V 0.5000 0.0000 0.2500
V 0.5000 0.5000 0.0000
Cr 0.0000 0.0000 0.0000
Cr 0.0000 0.5000 0.2500
Cr 0.5000 0.0000 0.7500
Cr 0.5000 0.5000 0.5000

## Properties
Its crystal system is tetragonal. The value obtained for the volume is 66 Å³/f.u. As for the density of states at the Fermi level: 20.8 states/eV per cell. As for the space group: I-42d.

=====

Decreasing stability: B, C, D, A